1.
A relaxed AlTc2Cl crystal. Source: Alexandria via LeMat-Bulk, functional PBE-GGA.

DOS at the Fermi energy = 1.8 states/eV/f.u.
energy above the most stable polymorph in this dataset = 0.000 eV/atom
calculated total energy = -26.66 eV/f.u.
size of the total moment = 0.0 μB per cell

Cell and atoms, written as CIF:
```
data_AlTc2Cl
_cell_length_a 2.966
_cell_length_b 2.966
_cell_length_c 7.561
_cell_angle_alpha 90.00
_cell_angle_beta 90.00
_cell_angle_gamma 90.00
_symmetry_space_group_name_H-M 'P 1'
_symmetry_Int_Tables_number 1
loop_
_symmetry_equiv_pos_as_xyz
'x,y,z'
loop_
_atom_site_label
_atom_site_fract_x
_atom_site_fract_y
_atom_site_fract_z
_atom_site_occupancy
Al1 0.000 0.000 0.000 1
Tc1 0.000 0.000 0.590 1
Tc2 0.500 0.500 0.799 1
Cl1 0.500 0.500 0.357 1
```

***

2.
A relaxed AlTcCl2 crystal. Source: Alexandria via LeMat-Bulk, functional PBE-GGA.

DOS at the Fermi energy = 2.3 states/eV/f.u.
energy above the most stable polymorph in this dataset = 0.159 eV/atom
calculated total energy = -18.90 eV/f.u.
size of the total moment = 0.0 μB per cell

Cell and atoms, written as CIF:
```
data_AlTcCl2
_cell_length_a 3.235
_cell_length_b 3.235
_cell_length_c 9.481
_cell_angle_alpha 90.00
_cell_angle_beta 90.00
_cell_angle_gamma 124.05
_symmetry_space_group_name_H-M 'P 1'
_symmetry_Int_Tables_number 1
loop_
_symmetry_equiv_pos_as_xyz
'x,y,z'
loop_
_atom_site_label
_atom_site_fract_x
_atom_site_fract_y
_atom_site_fract_z
_atom_site_occupancy
Al1 0.000 0.000 0.000 1
Tc1 0.500 0.500 0.783 1
Cl1 0.000 0.000 0.593 1
Cl2 0.500 0.500 0.189 1
```

***

3.
A relaxed AlTcCl2 crystal. Source: Alexandria via LeMat-Bulk, functional PBE-GGA.

DOS at the Fermi energy = 2.6 states/eV/f.u.
energy above the most stable polymorph in this dataset = 0.632 eV/atom
calculated total energy = -17.01 eV/f.u.
size of the total moment = 1.1 μB per cell

Cell and atoms, written as CIF:
```
data_AlTcCl2
_cell_length_a 3.286
_cell_length_b 4.260
_cell_length_c 4.946
_cell_angle_alpha 90.00
_cell_angle_beta 90.90
_cell_angle_gamma 90.00
_symmetry_space_group_name_H-M 'P 1'
_symmetry_Int_Tables_number 1
loop_
_symmetry_equiv_pos_as_xyz
'x,y,z'
loop_
_atom_site_label
_atom_site_fract_x
_atom_site_fract_y
_atom_site_fract_z
_atom_site_occupancy
Al1 0.000 0.000 0.000 1
Tc1 0.500 0.000 0.500 1
Cl1 0.293 0.500 0.260 1
Cl2 0.707 0.500 0.740 1
```

***

4.
A relaxed Al3TcCl crystal. Source: Alexandria via LeMat-Bulk, functional PBE-GGA.

DOS at the Fermi energy = 2.1 states/eV/f.u.
energy above the most stable polymorph in this dataset = 0.000 eV/atom
calculated total energy = -22.60 eV/f.u.
size of the total moment = 0.0 μB per cell

Cell and atoms, written as CIF:
```
data_Al3TcCl
_cell_length_a 4.819
_cell_length_b 4.819
_cell_length_c 4.819
_cell_angle_alpha 90.00
_cell_angle_beta 90.00
_cell_angle_gamma 90.00
_symmetry_space_group_name_H-M 'P 1'
_symmetry_Int_Tables_number 1
loop_
_symmetry_equiv_pos_as_xyz
'x,y,z'
loop_
_atom_site_label
_atom_site_fract_x
_atom_site_fract_y
_atom_site_fract_z
_atom_site_occupancy
Al1 0.000 0.000 0.500 1
Al2 0.000 0.500 0.000 1
Al3 0.500 0.000 0.000 1
Tc1 0.000 0.000 0.000 1
Cl1 0.500 0.500 0.500 1
```

***

5.
A relaxed AlTcCl2 crystal. Source: Alexandria via LeMat-Bulk, functional PBE-GGA.

DOS at the Fermi energy = 1.4 states/eV/f.u.
energy above the most stable polymorph in this dataset = 0.852 eV/atom
calculated total energy = -16.13 eV/f.u.
size of the total moment = 4.0 μB per cell

Cell and atoms, written as CIF:
```
data_AlTcCl2
_cell_length_a 3.213
_cell_length_b 3.213
_cell_length_c 8.162
_cell_angle_alpha 90.00
_cell_angle_beta 90.00
_cell_angle_gamma 90.00
_symmetry_space_group_name_H-M 'P 1'
_symmetry_Int_Tables_number 1
loop_
_symmetry_equiv_pos_as_xyz
'x,y,z'
loop_
_atom_site_label
_atom_site_fract_x
_atom_site_fract_y
_atom_site_fract_z
_atom_site_occupancy
Al1 0.000 0.000 0.000 1
Tc1 0.000 0.000 0.500 1
Cl1 0.500 0.500 0.294 1
Cl2 0.500 0.500 0.706 1
```

***

6.
A relaxed AlTc2Cl crystal. Source: Alexandria via LeMat-Bulk, functional PBE-GGA.

DOS at the Fermi energy = 4.6 states/eV/f.u.
energy above the most stable polymorph in this dataset = 0.428 eV/atom
calculated total energy = -24.95 eV/f.u.
size of the total moment = 0.0 μB per cell

Cell and atoms, written as CIF:
```
data_AlTc2Cl
_cell_length_a 2.997
_cell_length_b 2.997
_cell_length_c 6.523
_cell_angle_alpha 90.00
_cell_angle_beta 90.00
_cell_angle_gamma 90.00
_symmetry_space_group_name_H-M 'P 1'
_symmetry_Int_Tables_number 1
loop_
_symmetry_equiv_pos_as_xyz
'x,y,z'
loop_
_atom_site_label
_atom_site_fract_x
_atom_site_fract_y
_atom_site_fract_z
_atom_site_occupancy
Al1 0.000 0.000 0.000 1
Tc1 0.500 0.500 0.235 1
Tc2 0.500 0.500 0.765 1
Cl1 0.000 0.000 0.500 1
```

***

7.
A relaxed AlTcCl2 crystal. Source: Alexandria via LeMat-Bulk, functional PBE-GGA.

DOS at the Fermi energy = 1.2 states/eV/f.u.
energy above the most stable polymorph in this dataset = 0.250 eV/atom
calculated total energy = -18.54 eV/f.u.
size of the total moment = 0.0 μB per cell

Cell and atoms, written as CIF:
```
data_AlTcCl2
_cell_length_a 2.996
_cell_length_b 2.996
_cell_length_c 8.579
_cell_angle_alpha 90.00
_cell_angle_beta 90.00
_cell_angle_gamma 90.00
_symmetry_space_group_name_H-M 'P 1'
_symmetry_Int_Tables_number 1
loop_
_symmetry_equiv_pos_as_xyz
'x,y,z'
loop_
_atom_site_label
_atom_site_fract_x
_atom_site_fract_y
_atom_site_fract_z
_atom_site_occupancy
Al1 0.000 0.000 0.000 1
Tc1 0.500 0.500 0.803 1
Cl1 0.000 0.000 0.627 1
Cl2 0.500 0.500 0.199 1
```

***

8.
A relaxed AlTcCl2 crystal. Source: Alexandria via LeMat-Bulk, functional PBE-GGA.

DOS at the Fermi energy = 2.2 states/eV/f.u.
energy above the most stable polymorph in this dataset = 0.181 eV/atom
calculated total energy = -18.81 eV/f.u.
size of the total moment = 0.0 μB per cell

Cell and atoms, written as CIF:
```
data_AlTcCl2
_cell_length_a 7.688
_cell_length_b 7.688
_cell_length_c 7.688
_cell_angle_alpha 156.93
_cell_angle_beta 148.62
_cell_angle_gamma 39.31
_symmetry_space_group_name_H-M 'P 1'
_symmetry_Int_Tables_number 1
loop_
_symmetry_equiv_pos_as_xyz
'x,y,z'
loop_
_atom_site_label
_atom_site_fract_x
_atom_site_fract_y
_atom_site_fract_z
_atom_site_occupancy
Al1 0.000 0.000 0.000 1
Tc1 0.500 0.500 0.000 1
Cl1 0.364 0.864 0.500 1
Cl2 0.636 0.136 0.500 1
```